Record 1
Entry from Alexandria via LeMat-Bulk: a relaxed NbGeH2Pd crystal (PBE).

Structure (POSCAR):
```
NbGeH2Pd
1.0
3.6426 0.0000 0.0000
0.0000 5.5337 0.0000
0.0000 0.0000 3.6426
Pd H Nb Ge
1 2 1 1
direct
0.5000 0.5000 0.5000
0.5000 0.0000 0.0000
0.0000 0.0000 0.5000
0.0000 0.5000 0.0000
0.0000 0.0000 0.0000
```

Results
As for the total moment: 0.0000 μB/atom. For the final energy, the calculation gives -4.68 eV/atom. Its density of states at the Fermi level is 3.32 states/eV per cell.

---

Record 2
Entry from Alexandria via LeMat-Bulk: a relaxed NbAg3S crystal (PBE).

Structure (POSCAR):
```
NbAg3S
1.0
-4.6269 0.5810 -2.2449
-2.2867 -1.9741 4.2023
-0.3846 4.7487 2.0216
Ag Nb S
3 1 1
direct
0.0000 0.0000 0.5000
0.5000 0.0000 0.0000
0.0000 0.5000 0.0000
0.0000 0.0000 0.0000
0.5000 0.5000 0.5000
```

Results
As for the total moment: 0.2790 μB/atom. The formation energy (no corrections) comes out at 1.69 eV per atom. For the final energy, the calculation gives -2.86 eV/atom. For the offset from the most stable computed form, the calculation gives 725.5 meV/atom. Its density of states at the Fermi level is 7.28 states/eV per cell.

---

Record 3
Entry from Alexandria via LeMat-Bulk: a relaxed Ho5Tl3Cd crystal (PBE).

Structure (POSCAR):
```
Ho5Tl3Cd
1.0
-2.7496 -5.9738 1.3008
4.9932 -0.6140 7.7346
-8.3625 3.8935 0.2042
Tl Ho Cd
6 10 2
direct
0.7500 0.0000 0.6260
0.2500 0.6260 0.6260
0.7500 0.3740 0.3740
0.7500 0.6261 0.0000
0.2500 0.0000 0.3740
0.2500 0.3739 0.0000
0.0000 0.6667 0.3333
0.0000 0.3333 0.6667
0.7500 0.2874 0.0000
0.2500 0.2874 0.2874
0.2500 0.7126 0.0000
0.5000 0.3333 0.6667
0.5000 0.6667 0.3333
0.2500 0.0000 0.7126
0.7500 0.7126 0.7126
0.7500 0.0000 0.2874
0.0000 0.0000 0.0000
0.5000 0.0000 0.0000
```

Results
As for the total moment: 0.0000 μB/atom. For the final energy, the calculation gives -3.76 eV/atom. As for the formation energy: -0.329 eV per atom. Its density of states at the Fermi level is 12.31 states/eV per cell.

---

Record 4
Entry from Alexandria via LeMat-Bulk: a relaxed Na5LiTl2 crystal (PBE).

Structure (POSCAR):
```
Na5LiTl2
1.0
-1.1933 4.5030 -1.7230
-4.3940 -2.8344 -4.3645
-9.7728 0.9411 9.2277
Na Li Tl
10 2 4
direct
0.0000 0.5695 0.2471
0.5000 0.6967 0.6309
0.5000 0.3033 0.3691
0.0000 0.0000 0.0000
0.0000 0.5000 0.5000
0.5000 0.1967 0.8691
0.0000 0.4305 0.7529
0.5000 0.8033 0.1309
0.0000 0.9305 0.7471
0.0000 0.0695 0.2529
0.0000 0.5000 0.0000
0.0000 0.0000 0.5000
0.5000 0.6827 0.8917
0.5000 0.8173 0.3917
0.5000 0.3173 0.1083
0.5000 0.1827 0.6083
```

Results
As for the total moment: 0.0000 μB/atom. For the final energy, the calculation gives -1.73 eV/atom. As for the formation energy: -0.073 eV per atom. Its density of states at the Fermi level is 5.47 states/eV per cell.

---

Record 5
Entry from Alexandria via LeMat-Bulk: a relaxed AgPd2W crystal (PBE).

Structure (POSCAR):
```
AgPd2W
1.0
2.8180 0.0000 0.0000
0.0000 2.8180 0.0000
0.0000 0.0000 8.0566
Pd W Ag
2 1 1
direct
0.0000 0.0000 0.7354
0.0000 0.0000 0.2646
0.5000 0.5000 0.5000
0.5000 0.5000 0.0000
```

Results
As for the total moment: 0.0000 μB/atom. For the final energy, the calculation gives -6.58 eV/atom. For the offset from the most stable computed form, the calculation gives 0.0 meV/atom. As for the formation energy: -0.035 eV per atom. Its density of states at the Fermi level is 2.38 states/eV per cell.

---

Record 6
Entry from Alexandria via LeMat-Bulk: a relaxed Zr2TlSi crystal (PBE).

Structure (POSCAR):
```
Zr2TlSi
1.0
3.8342 0.0000 0.0000
0.0000 3.8342 0.0000
0.0000 0.0000 5.8847
Zr Tl Si
2 1 1
direct
0.0000 0.0000 0.0053
0.5000 0.5000 0.2695
0.5000 0.5000 0.7552
0.0000 0.0000 0.4700
```

Results
As for the total moment: 0.0000 μB/atom. The formation energy (no corrections) comes out at -0.09 eV per atom. For the final energy, the calculation gives -6.31 eV/atom. Its density of states at the Fermi level is 3.95 states/eV per cell.

---

Record 7
Entry from Alexandria via LeMat-Bulk: a relaxed RbIrC3 crystal (PBE).

Structure (POSCAR):
```
RbIrC3
1.0
4.2061 0.0000 0.0000
0.0000 4.2061 0.0000
0.0000 0.0000 4.2061
C Rb Ir
3 1 1
direct
0.0000 0.0000 0.5000
0.0000 0.5000 0.0000
0.5000 0.0000 0.0000
0.0000 0.0000 0.0000
0.5000 0.5000 0.5000
```

Results
As for the total moment: 0.0000 μB/atom. For the final energy, the calculation gives -2.71 eV/atom. For the offset from the most stable computed form, the calculation gives 2809.2 meV/atom. As for the formation energy: 4.786 eV per atom. Its density of states at the Fermi level is 3.87 states/eV per cell.

---

Record 8
Entry from Alexandria via LeMat-Bulk: a relaxed Ce3TcGe2 crystal (PBE).

Structure (POSCAR):
```
Ce3TcGe2
1.0
4.4945 0.0000 0.0000
0.0000 10.3468 0.0000
0.0000 0.0000 12.0631
Ge Ce Tc
8 12 4
direct
0.7500 0.9858 0.7031
0.7500 0.3017 0.5023
0.2500 0.8017 0.9977
0.2500 0.0142 0.2969
0.2500 0.6983 0.4977
0.7500 0.5142 0.2031
0.7500 0.1983 0.0023
0.2500 0.4858 0.7969
0.7500 0.6062 0.9483
0.2500 0.0568 0.8728
0.7500 0.9432 0.1272
0.7500 0.5568 0.6272
0.2500 0.4432 0.3728
0.2500 0.7842 0.7389
0.7500 0.8938 0.4483
0.2500 0.7158 0.2389
0.7500 0.2842 0.7611
0.7500 0.2158 0.2611
0.2500 0.3938 0.0517
0.2500 0.1062 0.5517
0.7500 0.6534 0.3911
0.7500 0.8466 0.8911
0.2500 0.3466 0.6089
0.2500 0.1534 0.1089
```

Results
As for the total moment: 0.1481 μB/atom. For the final energy, the calculation gives -6.81 eV/atom. For the offset from the most stable computed form, the calculation gives 0.0 meV/atom. As for the formation energy: -0.574 eV per atom. Its density of states at the Fermi level is 39.17 states/eV per cell.

---

Record 9
Entry from Alexandria via LeMat-Bulk: a relaxed KLiBiF6 crystal (PBE).

Structure (POSCAR):
```
KLiBiF6
1.0
5.6479 0.0000 0.0000
-2.8239 4.8912 0.0000
0.0000 0.0000 11.4681
F Li Bi K
12 2 2 2
direct
0.3794 0.3695 0.8527
0.6305 0.6206 0.6473
0.6305 0.0099 0.8527
0.6206 0.9901 0.3527
0.9901 0.3695 0.6473
0.6206 0.6305 0.1473
0.3695 0.9901 0.1473
0.3794 0.0099 0.6473
0.9901 0.6206 0.8527
0.0099 0.3794 0.1473
0.0099 0.6305 0.3527
0.3695 0.3794 0.3527
0.3333 0.6667 0.2500
0.6667 0.3333 0.7500
0.6667 0.3333 0.2500
0.3333 0.6667 0.7500
0.0000 0.0000 0.5000
0.0000 0.0000 0.0000
```

Results
As for the total moment: 0.1076 μB/atom. The formation energy (no corrections) comes out at -2.48 eV per atom. For the final energy, the calculation gives -4.49 eV/atom. Its density of states at the Fermi level is 6.10 states/eV per cell.

---

Record 10
Entry from Alexandria via LeMat-Bulk: a relaxed Sm4CoNiBr2 crystal (PBE).

Structure (POSCAR):
```
Sm4CoNiBr2
1.0
-1.8134 3.4796 0.7379
-4.1988 -3.1425 4.5001
6.4132 2.4612 4.1548
Br Co Sm Ni
2 1 4 1
direct
0.0000 0.5000 0.5000
0.5000 0.0000 0.5000
0.5000 0.5000 0.0000
0.0000 0.7264 0.1913
0.5000 0.2372 0.1914
0.5000 0.7628 0.8086
0.0000 0.2736 0.8087
0.0000 0.0000 0.0000
```

Results
As for the total moment: 0.0000 μB/atom. The formation energy (no corrections) comes out at -0.78 eV per atom. For the final energy, the calculation gives -5.17 eV/atom. Its density of states at the Fermi level is 4.65 states/eV per cell.

---

Look up the final energy of the seventh one. -2.71 eV/atom